No. 1
The following is a DFT calculation (PBE-GGA) of a geometry-optimized YSb2AuI structure.

Results
space-group type	P4/mmm (123)
formation energy without anion corrections	174	meV per atom
density of states at the Fermi level	0.61	states/eV/atom
relative energy among the computed polymorphs	0	meV/atom

Cell: 5.400 5.400 5.525 Å, 90.00 90.00 90.00°
Positions (direct):
Y (0.000, 0.000, 0.000)
Sb (0.000, 0.500, 0.500)
Sb (0.500, 0.000, 0.500)
Au (0.500, 0.500, 0.500)
I (0.500, 0.500, 0.000)



No. 2
The following is a DFT calculation (PBE-GGA) of a geometry-optimized ZnSbAuI2 structure.

Results
space-group type	P4/mmm (123)
formation energy without anion corrections	445	meV per atom
density of states at the Fermi level	0.82	states/eV/atom
relative energy among the computed polymorphs	0	meV/atom

Cell: 5.742 5.742 5.457 Å, 90.00 90.00 90.00°
Positions (direct):
Zn (0.000, 0.000, 0.000)
Sb (0.500, 0.500, 0.000)
Au (0.500, 0.500, 0.500)
I (0.000, 0.500, 0.500)
I (0.500, 0.000, 0.500)